VASP calculation (SCAN) on a PBEsol-optimized structure of MnBe2Si.

```
MnBe2Si
1.0
3.392 0.000 0.000
0.000 3.387 0.000
0.000 0.000 3.387
Be Si Mn
2 1 1
direct
0.000 0.000 0.500
0.000 0.500 0.000
0.500 0.000 0.000
0.500 0.500 0.500
```

space group = P4/mmm
mass density = 4.31 g/cm3
raw total energy = -9.50 eV/atom
magnetization = 2.4 μB per cell
raw formation energy = -0.259 eV per atom

VASP calculation (SCAN) on a PBEsol-optimized structure of Mn2Be2Si.

```
Mn2Be2Si
1.0
2.913 0.000 0.000
0.000 5.576 0.000
0.000 0.000 5.576
Be Si Mn
4 2 4
direct
0.000 0.378 0.878
0.000 0.878 0.622
0.000 0.622 0.122
0.000 0.122 0.378
0.000 0.000 0.000
0.000 0.500 0.500
0.500 0.176 0.676
0.500 0.676 0.824
0.500 0.824 0.324
0.500 0.324 0.176
```

space group = P4/mbm
mass density = 5.72 g/cm3
raw total energy = -11.33 eV/atom
magnetization = 0.0 μB per cell
raw formation energy = -0.279 eV per atom

VASP calculation (SCAN) on a PBEsol-optimized structure of Mn2BeSi.

```
Mn2BeSi
1.0
-1.695 -1.930 -2.565
2.304 -2.101 2.627
-1.766 -1.862 2.568
Be Si Mn
1 1 2
direct
0.500 0.000 0.500
0.000 0.000 0.000
0.750 0.500 0.750
0.250 0.500 0.250
```

space group = I4/mmm
mass density = 5.85 g/cm3
raw total energy = -13.14 eV/atom
magnetization = 4.6 μB per cell
raw formation energy = -0.417 eV per atom

VASP calculation (SCAN) on a PBEsol-optimized structure of MnBe2Si.

```
MnBe2Si
1.0
3.249 0.000 0.000
0.000 3.249 0.000
-1.625 -1.625 3.615
Be Si Mn
2 1 1
direct
0.750 0.250 0.500
0.250 0.750 0.500
0.000 0.000 0.000
0.500 0.500 0.000
```

space group = I4/mmm
mass density = 4.40 g/cm3
raw total energy = -9.47 eV/atom
magnetization = 1.2 μB per cell
raw formation energy = -0.228 eV per atom

VASP calculation (SCAN) on a PBEsol-optimized structure of Mn2BeSi.

```
Mn2BeSi
1.0
2.751 0.000 0.000
0.000 2.751 0.000
0.000 0.000 5.178
Be Si Mn
1 1 2
direct
0.500 0.500 0.762
0.000 0.000 0.509
0.000 0.000 0.979
0.500 0.500 0.249
```

space group = P4mm
mass density = 6.23 g/cm3
raw total energy = -12.93 eV/atom
magnetization = 0.1 μB per cell
raw formation energy = -0.214 eV per atom

VASP calculation (SCAN) on a PBEsol-optimized structure of MnBe2Si.

```
MnBe2Si
1.0
2.389 0.031 0.000
-0.109 2.387 0.000
0.000 0.000 7.142
Be Si Mn
2 1 1
direct
0.000 0.000 0.269
0.000 0.000 0.731
0.500 0.500 0.000
0.500 0.500 0.500
```

space group = Cmmm
mass density = 4.12 g/cm3
raw total energy = -9.04 eV/atom
magnetization = 2.3 μB per cell
raw formation energy = 0.201 eV per atom

VASP calculation (SCAN) on a PBEsol-optimized structure of Mn2BeSi.

```
Mn2BeSi
1.0
2.814 0.000 0.000
0.000 3.797 0.349
0.000 -0.516 3.778
Be Si Mn
1 1 2
direct
0.500 0.500 0.500
0.500 0.000 0.000
0.000 0.500 0.000
0.000 0.000 0.500
```

space group = Cmmm
mass density = 5.97 g/cm3
raw total energy = -13.06 eV/atom
magnetization = 3.7 μB per cell
raw formation energy = -0.341 eV per atom

VASP calculation (SCAN) on a PBEsol-optimized structure of MnBe2Si.

```
MnBe2Si
1.0
-2.035 -2.073 0.014
1.646 -1.634 -2.636
2.184 -0.084 3.755
Be Si Mn
2 1 1
direct
0.756 0.756 0.513
0.244 0.244 0.487
0.000 0.500 0.000
0.500 0.000 0.000
```

space group = Immm
mass density = 4.45 g/cm3
raw total energy = -9.43 eV/atom
magnetization = 0.0 μB per cell
raw formation energy = -0.188 eV per atom

VASP calculation (SCAN) on a PBEsol-optimized structure of Mn2BeSi.

```
Mn2BeSi
1.0
-2.253 1.229 -1.999
-2.585 -1.052 2.267
0.210 3.158 1.705
Be Si Mn
1 1 2
direct
0.500 0.000 0.000
0.500 0.500 0.500
0.000 0.000 0.500
0.000 0.500 0.000
```

space group = P4/mmm
mass density = 5.80 g/cm3
raw total energy = -13.12 eV/atom
magnetization = 4.7 μB per cell
raw formation energy = -0.400 eV per atom

VASP calculation (SCAN) on a PBEsol-optimized structure of MnBe2Si.

```
MnBe2Si
1.0
3.270 0.000 0.000
0.000 3.270 0.000
-1.635 -1.635 3.531
Be Si Mn
2 1 1
direct
0.500 0.500 0.000
0.750 0.250 0.500
0.250 0.750 0.500
0.000 0.000 0.000
```

space group = I-4m2
mass density = 4.44 g/cm3
raw total energy = -9.54 eV/atom
magnetization = 1.0 μB per cell
raw formation energy = -0.299 eV per atom

VASP calculation (SCAN) on a PBEsol-optimized structure of SrMnBe3.

```
SrMnBe3
1.0
4.978 0.000 0.000
0.000 4.978 0.000
0.000 0.000 4.978
Sr Mn Be
1 1 3
direct
0.000 0.000 0.000
0.500 0.500 0.500
0.000 0.500 0.000
0.000 0.000 0.500
0.500 0.000 0.000
```

space group = Pm-3m
mass density = 2.28 g/cm3
raw total energy = -8.44 eV/atom
magnetization = 4.5 μB per cell
ΔE_f = 2274 meV per atom

VASP calculation (SCAN) on a PBEsol-optimized structure of Sr2MnBe.

```
Sr2MnBe
1.0
3.416 0.000 0.000
0.000 3.416 0.000
0.000 0.000 8.824
Sr Mn Be
2 1 1
direct
0.000 0.000 0.926
0.500 0.500 0.327
0.500 0.500 0.664
0.000 0.000 0.583
```

space group = P4mm
mass density = 3.86 g/cm3
raw total energy = -16.47 eV/atom
magnetization = 3.7 μB per cell
ΔE_f = 315 meV per atom

no.,V (Å³/cell)
1,39
2,91
3,42
4,38
5,39
6,41
7,41
8,38
9,42
10,38
11,123
12,103